Record 1
This record from Alexandria describes a relaxed ScReW2 crystal. The functional is PBE.

Summary:
Distance to the lowest polymorph of the same formula ... 94 meV per atom
Space-group type ... C2/m, No. 12
N(E_F) ... 0.84 states/eV/atom
E_form ... 0.076 eV per atom
Total moment ... 0.0 μB/f.u.

The structure in POSCAR format:
```
ScReW2
1.0
5.307 -0.002 -0.006
-2.390 4.765 0.002
0.526 0.773 2.600
Re W Sc
1 2 1
direct
0.000 0.500 0.500
0.000 0.000 0.000
0.500 0.000 0.500
0.500 0.500 0.000
```

Record 2
This record from Alexandria describes a relaxed LiHI3 crystal. The functional is PBE.

Summary:
Distance to the lowest polymorph of the same formula ... 711 meV per atom
Space-group type ... Pm-3m, No. 221
N(E_F) ... 1.40 states/eV/atom
Total moment ... 2.5 μB/f.u.

The structure in POSCAR format:
```
LiHI3
1.0
-2.989 -4.173 -2.215
2.558 -3.633 3.393
-3.972 0.800 3.852
Li I H
1 3 1
direct
0.000 0.000 0.000
0.000 0.000 0.500
0.000 0.500 0.000
0.500 0.000 0.000
0.500 0.500 0.500
```

Record 3
This record from Alexandria describes a relaxed Li3AlPd crystal. The functional is PBE.

Summary:
Distance to the lowest polymorph of the same formula ... 400 meV per atom
Space-group type ... Pm-3m, No. 221
N(E_F) ... 0.38 states/eV/atom
E_form ... 0.140 eV per atom
Total moment ... 0.0 μB/f.u.

The structure in POSCAR format:
```
Li3AlPd
1.0
-1.437 4.277 -1.085
-4.286 -1.624 -0.725
-1.048 0.777 4.453
Pd Li Al
1 3 1
direct
0.000 0.000 0.000
0.500 0.000 0.000
0.000 0.500 0.000
0.000 0.000 0.500
0.500 0.500 0.500
```

Record 4
This record from Alexandria describes a relaxed AlH3Br crystal. The functional is PBE.

Summary:
Distance to the lowest polymorph of the same formula ... 1003 meV per atom
Space-group type ... Pm-3m, No. 221
N(E_F) ... 0.31 states/eV/atom
Total moment ... 0.0 μB/f.u.

The structure in POSCAR format:
```
AlH3Br
1.0
3.981 0.000 0.000
0.000 3.981 0.000
0.000 0.000 3.981
Br H Al
1 3 1
direct
0.000 0.000 0.000
0.000 0.500 0.000
0.500 0.000 0.000
0.000 0.000 0.500
0.500 0.500 0.500
```

Question: What is the total moment in the second record?
Answer: 2.5 μB/f.u.